The following is a DFT calculation (PBE) of an optimized crystal structure of Ac3Ag2Hg6.

Energy = -22.7 eV/f.u.
DFT formation energy = -0.26 eV/atom
Size of the total moment = 0.00 Bohr magnetons per cell
ρ = 10.72 g/cm³
Space-group type = No. 139

Unit cell a=4.418 b=4.418 c=16.965 alpha=97.48 beta=97.48 gamma=90.00
Sites, in units of the cell vectors:
Ac 0.826 0.826 0.651
Ac 0.000 0.000 0.000
Ac 0.174 0.174 0.349
Ag 0.638 0.638 0.276
Ag 0.362 0.362 0.724
Hg 0.726 0.726 0.452
Hg 0.078 0.578 0.156
Hg 0.422 0.922 0.844
Hg 0.922 0.422 0.844
Hg 0.578 0.078 0.156
Hg 0.274 0.274 0.548